Entry 1:
Below is a relaxed structure of V3NiPd, with properties calculated at the PBE-GGA level.

Formation energy from the elements, kcal/mol of atoms: 18.7
Energy, eV/cell: -34.27
N(E_F), states/eV per atom: 1.75

```
data_V3NiPd
_chemical_formula_sum 'V3 Ni1 Pd1'
_cell_length_a 4.315
_cell_length_b 4.315
_cell_length_c 4.315
_cell_angle_alpha 90.00
_cell_angle_beta 90.00
_cell_angle_gamma 90.00
_space_group_name_H-M_alt 'P 1'
_space_group_IT_number 1
loop_
_space_group_symop_operation_xyz
'x,y,z'
loop_
_atom_site_label
_atom_site_type_symbol
_atom_site_fract_x
_atom_site_fract_y
_atom_site_fract_z
Ni1 Ni 0.000 0.000 0.000
Pd1 Pd 0.500 0.500 0.500
V1 V 0.000 0.500 0.000
V2 V 0.000 0.000 0.500
V3 V 0.500 0.000 0.000
```

Entry 2:
Below is a relaxed structure of VNiPd2, with properties calculated at the PBE-GGA level.

Formation energy from the elements, kcal/mol of atoms: -1.7
Energy, eV/cell: -25.57
N(E_F), states/eV per atom: 0.93

```
data_VNiPd2
_chemical_formula_sum 'V1 Ni1 Pd2'
_cell_length_a 4.285
_cell_length_b 4.285
_cell_length_c 4.285
_cell_angle_alpha 60.00
_cell_angle_beta 60.00
_cell_angle_gamma 60.00
_space_group_name_H-M_alt 'P 1'
_space_group_IT_number 1
loop_
_space_group_symop_operation_xyz
'x,y,z'
loop_
_atom_site_label
_atom_site_type_symbol
_atom_site_fract_x
_atom_site_fract_y
_atom_site_fract_z
Ni1 Ni 0.500 0.500 0.500
Pd1 Pd 0.250 0.250 0.250
Pd2 Pd 0.750 0.750 0.750
V1 V 0.000 0.000 0.000
```

Entry 3:
Below is a relaxed structure of VNi3Pd, with properties calculated at the PBE-GGA level.

Formation energy from the elements, kcal/mol of atoms: 13.9
Energy, eV/cell: -57.28
N(E_F), states/eV per atom: 1.13

```
data_VNi3Pd
_chemical_formula_sum 'V2 Ni6 Pd2'
_cell_length_a 4.438
_cell_length_b 4.438
_cell_length_c 8.640
_cell_angle_alpha 104.88
_cell_angle_beta 104.88
_cell_angle_gamma 90.00
_space_group_name_H-M_alt 'P 1'
_space_group_IT_number 1
loop_
_space_group_symop_operation_xyz
'x,y,z'
loop_
_atom_site_label
_atom_site_type_symbol
_atom_site_fract_x
_atom_site_fract_y
_atom_site_fract_z
V1 V 0.000 0.000 0.000
V2 V 0.250 0.750 0.500
Ni1 Ni 0.622 0.873 0.745
Ni2 Ni 0.127 0.877 0.255
Ni3 Ni 0.127 0.378 0.255
Ni4 Ni 0.123 0.873 0.745
Ni5 Ni 0.329 0.329 0.657
Ni6 Ni 0.671 0.671 0.343
Pd1 Pd 0.581 0.081 0.162
Pd2 Pd 0.919 0.419 0.838
```

Entry 4:
Below is a relaxed structure of VNi3Pd12, with properties calculated at the PBE-GGA level.

Formation energy from the elements, kcal/mol of atoms: -1.0
Energy, eV/cell: -89.44
N(E_F), states/eV per atom: 1.68

```
data_VNi3Pd12
_chemical_formula_sum 'V1 Ni3 Pd12'
_cell_length_a 3.879
_cell_length_b 3.879
_cell_length_c 15.458
_cell_angle_alpha 90.00
_cell_angle_beta 90.00
_cell_angle_gamma 90.00
_space_group_name_H-M_alt 'P 1'
_space_group_IT_number 1
loop_
_space_group_symop_operation_xyz
'x,y,z'
loop_
_atom_site_label
_atom_site_type_symbol
_atom_site_fract_x
_atom_site_fract_y
_atom_site_fract_z
V1 V 0.000 0.000 0.000
Ni1 Ni 0.000 0.000 0.253
Ni2 Ni 0.000 0.000 0.500
Ni3 Ni 0.000 0.000 0.747
Pd1 Pd 0.500 0.500 0.000
Pd2 Pd 0.500 0.500 0.250
Pd3 Pd 0.500 0.500 0.500
Pd4 Pd 0.500 0.500 0.750
Pd5 Pd 0.500 0.000 0.123
Pd6 Pd 0.500 0.000 0.376
Pd7 Pd 0.500 0.000 0.624
Pd8 Pd 0.500 0.000 0.877
Pd9 Pd 0.000 0.500 0.123
Pd10 Pd 0.000 0.500 0.376
Pd11 Pd 0.000 0.500 0.624
Pd12 Pd 0.000 0.500 0.877
```

Entry 5:
Below is a relaxed structure of VNi2Pd, with properties calculated at the PBE-GGA level.

Formation energy from the elements, kcal/mol of atoms: -3.1
Energy, eV/cell: -26.41
N(E_F), states/eV per atom: 0.73

```
data_VNi2Pd
_chemical_formula_sum 'V1 Ni2 Pd1'
_cell_length_a 3.071
_cell_length_b 3.071
_cell_length_c 5.369
_cell_angle_alpha 90.00
_cell_angle_beta 90.00
_cell_angle_gamma 90.00
_space_group_name_H-M_alt 'P 1'
_space_group_IT_number 1
loop_
_space_group_symop_operation_xyz
'x,y,z'
loop_
_atom_site_label
_atom_site_type_symbol
_atom_site_fract_x
_atom_site_fract_y
_atom_site_fract_z
Ni1 Ni 0.000 0.000 0.725
Ni2 Ni 0.000 0.000 0.275
Pd1 Pd 0.500 0.500 0.000
V1 V 0.500 0.500 0.500
```

Entry 6:
Below is a relaxed structure of VNi4Pd3, with properties calculated at the PBE-GGA level.

Formation energy from the elements, kcal/mol of atoms: -2.1
Energy, eV/cell: -48.54
N(E_F), states/eV per atom: 1.13

```
data_VNi4Pd3
_chemical_formula_sum 'V1 Ni4 Pd3'
_cell_length_a 3.778
_cell_length_b 3.778
_cell_length_c 7.679
_cell_angle_alpha 104.25
_cell_angle_beta 104.25
_cell_angle_gamma 90.00
_space_group_name_H-M_alt 'P 1'
_space_group_IT_number 1
loop_
_space_group_symop_operation_xyz
'x,y,z'
loop_
_atom_site_label
_atom_site_type_symbol
_atom_site_fract_x
_atom_site_fract_y
_atom_site_fract_z
Ni1 Ni 0.380 0.380 0.761
Ni2 Ni 0.620 0.620 0.239
Ni3 Ni 0.119 0.120 0.239
Ni4 Ni 0.881 0.880 0.761
Pd1 Pd 0.000 0.500 0.000
Pd2 Pd 0.751 0.251 0.503
Pd3 Pd 0.249 0.749 0.497
V1 V 0.500 0.000 0.000
```

Entry 7:
Below is a relaxed structure of V6Ni8Pd, with properties calculated at the PBE-GGA level.

Formation energy from the elements, kcal/mol of atoms: 3.8
Energy, eV/cell: -103.65
N(E_F), states/eV per atom: 0.87

```
data_V6Ni8Pd
_chemical_formula_sum 'V6 Ni8 Pd1'
_cell_length_a 2.593
_cell_length_b 9.283
_cell_length_c 9.283
_cell_angle_alpha 120.00
_cell_angle_beta 90.00
_cell_angle_gamma 90.00
_space_group_name_H-M_alt 'P 1'
_space_group_IT_number 1
loop_
_space_group_symop_operation_xyz
'x,y,z'
loop_
_atom_site_label
_atom_site_type_symbol
_atom_site_fract_x
_atom_site_fract_y
_atom_site_fract_z
V1 V 0.729 0.529 0.625
V2 V 0.729 0.375 0.903
V3 V 0.729 0.097 0.471
V4 V 0.271 0.471 0.375
V5 V 0.271 0.625 0.097
V6 V 0.271 0.903 0.529
Ni1 Ni 0.802 0.710 0.922
Ni2 Ni 0.802 0.078 0.788
Ni3 Ni 0.802 0.212 0.290
Ni4 Ni 0.198 0.290 0.078
Ni5 Ni 0.198 0.922 0.212
Ni6 Ni 0.198 0.788 0.710
Ni7 Ni 0.773 0.667 0.333
Ni8 Ni 0.227 0.333 0.667
Pd1 Pd 0.500 0.000 0.000
```

Entry 8:
Below is a relaxed structure of VNiPd3, with properties calculated at the PBE-GGA level.

Formation energy from the elements, kcal/mol of atoms: -0.3
Energy, eV/cell: -61.09
N(E_F), states/eV per atom: 1.09

```
data_VNiPd3
_chemical_formula_sum 'V2 Ni2 Pd6'
_cell_length_a 4.974
_cell_length_b 5.372
_cell_length_c 7.105
_cell_angle_alpha 90.00
_cell_angle_beta 90.00
_cell_angle_gamma 50.58
_space_group_name_H-M_alt 'P 1'
_space_group_IT_number 1
loop_
_space_group_symop_operation_xyz
'x,y,z'
loop_
_atom_site_label
_atom_site_type_symbol
_atom_site_fract_x
_atom_site_fract_y
_atom_site_fract_z
V1 V 0.500 0.000 0.730
V2 V 0.000 0.500 0.270
Ni1 Ni 0.500 0.000 0.070
Ni2 Ni 0.000 0.500 0.930
Pd1 Pd 0.313 0.907 0.383
Pd2 Pd 0.187 0.593 0.617
Pd3 Pd 0.813 0.407 0.617
Pd4 Pd 0.687 0.093 0.383
Pd5 Pd 0.000 0.000 0.899
Pd6 Pd 0.500 0.500 0.101
```